6
Lattice="5.0895 0.0000 0.0000 0.0000 5.0895 0.0000 0.0000 0.0000 7.4032" Properties=species:S:1:pos:R:3 comment="Tm4MgTl GGA-PBE optimized geometry" ef_ev_per_fu=1.3 pbc="T T T"
Tm 0.0000 2.5448 1.8448
Tm 0.0000 2.5448 5.5585
Tm 2.5448 0.0000 1.8448
Tm 2.5448 0.0000 5.5585
Mg 0.0000 0.0000 0.0000
Tl 2.5448 2.5448 3.7016